(1)
## YZnGaMo2 (PBE)

Data for a relaxed YZnGaMo2 crystal.

a = 4.966 Å, b = 4.966 Å, c = 5.237 Å
α = 90.00°, β = 90.00°, γ = 90.00°
Fractional positions:
Y  0.000  0.000  0.000
Zn  0.000  0.000  0.500
Ga  0.500  0.500  0.500
Mo  0.000  0.500  0.000
Mo  0.500  0.000  0.000

- theoretical density (g/cm³) = 5.35
- uncorrected energy (eV/atom) = -4.45



(2)
## HgIr2Os (PBE)

Data for a relaxed HgIr2Os crystal.

a = 2.756 Å, b = 4.805 Å, c = 9.874 Å
α = 90.00°, β = 90.00°, γ = 90.00°
Fractional positions:
Hg  0.000  0.000  0.000
Hg  0.500  0.500  0.500
Ir  0.000  0.500  0.229
Ir  0.000  0.500  0.771
Ir  0.500  0.000  0.271
Ir  0.500  0.000  0.729
Os  0.000  0.000  0.500
Os  0.500  0.500  0.000

- theoretical density (g/cm³) = 19.69
- uncorrected energy (eV/atom) = -6.66